First-principles (GGA-PBE) data for MgBeCl after structural relaxation, as listed in Alexandria. Values from VASP.

The structure in Quantum ESPRESSO input format:
```
&SYSTEM
  ibrav = 0, nat = 3, ntyp = 3
/
ATOMIC_SPECIES
Be 9.01 Be.upf
Cl 35.45 Cl.upf
Mg 24.30 Mg.upf
ATOMIC_POSITIONS angstrom
Be 0.823 -8.173 2.320
Cl 0.000 0.000 0.000
Mg 0.549 -5.449 1.547
CELL_PARAMETERS angstrom
-2.250 -4.023 0.584
2.136 -4.016 -0.947
1.211 -2.859 3.456
```

The energy above the lowest structure with this stoichiometry comes out at 1116 meV per atom. Its uncorrected formation energy is 54 kJ per mole of atoms. The density of states at the Fermi level is 2.98 states/eV/f.u. For the total magnetic moment, the calculation gives 0.0 Bohr magnetons per cell. Its symmetry is F-43m, No. 216.